Run A
Computed, not measured: a relaxed structure of Cd2TeSe at the PBE level of DFT.

Summary:
- Volume: 26.045 A^3/atom
- SG: Cmm2 (35)
- Size of the total moment: 0.00 μB per formula unit

extended XYZ file:
```
4
Lattice="3.2497 0.0056 0.0000 -0.7226 3.1684 0.0000 0.0000 0.0000 10.1139" Properties=species:S:1:pos:R:3 pbc="T T T"
Cd 1.2636 1.5870 2.5553
Se 0.0000 0.0000 4.4690
Te 1.2636 1.5870 7.8903
Cd 0.0000 0.0000 0.2562
```


Run B
Computed, not measured: a relaxed structure of Cd2TeSe at the PBE level of DFT.

Summary:
- Volume: 26.160 A^3/atom
- SG: R-3m (166)
- Size of the total moment: 0.00 μB per formula unit

extended XYZ file:
```
4
Lattice="-5.0711 5.1414 -1.1787 -7.1297 1.5604 -0.5219 -5.6605 3.7534 2.7224" Properties=species:S:1:pos:R:3 pbc="T T T"
Te -13.3960 7.8414 0.7663
Cd -17.7608 10.3964 1.0160
Se -4.4653 2.6138 0.2554
Cd -9.0312 5.2865 0.5166
```


Run C
Computed, not measured: a relaxed structure of Cd2TeSe at the PBE level of DFT.

Summary:
- Volume: 26.606 A^3/atom
- SG: C2/m (12)
- Size of the total moment: 0.00 μB per formula unit

extended XYZ file:
```
4
Lattice="6.9564 0.1054 -0.0534 5.9106 3.6698 -0.0534 -1.4348 -0.4210 4.2850" Properties=species:S:1:pos:R:3 pbc="T T T"
Te 8.5741 2.5157 3.1337
Se 2.8580 0.8386 1.0446
Cd 0.0703 0.0206 0.0256
Cd 5.6457 1.6565 2.0635
```


Run D
Computed, not measured: a relaxed structure of Cd2TeSe at the PBE level of DFT.

Summary:
- Volume: 28.407 A^3/atom
- SG: Pm (6)
- Size of the total moment: 0.00 μB per formula unit

extended XYZ file:
```
4
Lattice="-0.7299 4.5548 3.2006 1.6953 -2.2355 3.5680 4.4200 0.9767 -0.3821" Properties=species:S:1:pos:R:3 pbc="T T T"
Cd 5.8055 -1.1880 3.0145
Cd 2.1203 1.7647 2.8967
Te 4.6118 1.2506 4.1965
Se 2.0210 -0.4192 1.0574
```


In terms of stability, run D leads; the second structure lies 12 meV/atom higher.


Run A
Computed, not measured: a relaxed structure of Cd2TeSe at the PBE level of DFT.

Summary:
- Volume: 24.784 A^3/atom
- SG: F-43m (216)
- Size of the total moment: 0.00 μB per formula unit

extended XYZ file:
```
4
Lattice="-3.9152 -1.2451 -3.1793 0.4709 -4.0281 -3.2465 -2.7387 -4.3363 0.8267" Properties=species:S:1:pos:R:3 pbc="T T T"
Te -4.6373 -7.2072 -4.1993
Cd -1.5458 -2.4024 -1.3998
Cd 0.0000 0.0000 0.0000
Se -3.0915 -4.8048 -2.7996
```


Run B
Computed, not measured: a relaxed structure of Cd2TeSe at the PBE level of DFT.

Summary:
- Volume: 32.808 A^3/atom
- SG: I-42d (122)
- Size of the total moment: 0.00 μB per formula unit

extended XYZ file:
```
8
Lattice="-3.6441 -0.7077 5.2258 3.6314 -4.9428 1.8629 3.8042 1.1802 6.7440" Properties=species:S:1:pos:R:3 pbc="T T T"
Te 0.0769 -1.1764 7.7571
Cd 2.6891 -2.8975 3.6127
Cd 2.9243 -1.3371 7.7552
Cd -0.7964 -0.7503 5.0758
Cd 2.7662 -3.9558 11.2217
Se 3.7147 -3.2939 6.0756
Te 0.0000 0.0000 0.0000
Se -0.0063 -2.8253 3.5443
```


In terms of stability, run B leads; the second structure lies 678 meV/atom higher.


Run A
Computed, not measured: a relaxed structure of Cd2TeSe at the PBE level of DFT.

Summary:
- Volume: 26.690 A^3/atom
- SG: C2/m (12)
- Size of the total moment: 0.00 μB per formula unit

extended XYZ file:
```
4
Lattice="-0.7679 4.7052 2.1678 -4.7805 -1.5705 -1.4522 -2.2343 -0.7687 3.8093" Properties=species:S:1:pos:R:3 pbc="T T T"
Cd -2.7742 1.5674 0.3578
Cd 0.0000 0.0000 0.0000
Se -1.5011 1.9683 2.9885
Te -3.5074 -1.1696 1.1786
```


Run B
Computed, not measured: a relaxed structure of Cd2TeSe at the PBE level of DFT.

Summary:
- Volume: 24.829 A^3/atom
- SG: P4/mmm (123)
- Size of the total moment: 0.00 μB per formula unit

extended XYZ file:
```
4
Lattice="3.5727 0.0000 0.0000 0.0000 3.5776 0.0000 0.0000 0.0000 7.7701" Properties=species:S:1:pos:R:3 pbc="T T T"
Cd 0.0000 0.0000 3.6100
Te 1.7863 1.7888 5.8276
Se 1.7863 1.7888 1.9425
Cd 0.0000 0.0000 0.2751
```


Run C
Computed, not measured: a relaxed structure of Cd2TeSe at the PBE level of DFT.

Summary:
- Volume: 32.842 A^3/atom
- SG: P-4m2 (115)
- Size of the total moment: 0.00 μB per formula unit

extended XYZ file:
```
4
Lattice="4.5344 0.0000 0.0000 0.0000 4.5344 0.0000 0.0000 0.0000 6.3893" Properties=species:S:1:pos:R:3 pbc="T T T"
Cd 0.0000 2.2672 1.4892
Te 0.0000 0.0000 3.1946
Se 2.2672 2.2672 0.0000
Cd 2.2672 0.0000 4.9000
```


Run D
Computed, not measured: a relaxed structure of Cd2TeSe at the PBE level of DFT.

Summary:
- Volume: 27.494 A^3/atom
- SG: Immm (71)
- Size of the total moment: 0.00 μB per formula unit

extended XYZ file:
```
4
Lattice="-2.3228 1.8613 6.5134 -1.1157 -3.8124 5.9586 4.5223 1.0762 -5.4475" Properties=species:S:1:pos:R:3 pbc="T T T"
Se 0.8437 -1.8559 3.3736
Cd -1.5765 -0.8946 5.7182
Te 0.2401 0.9810 3.6510
Cd -0.1428 -0.0810 0.5178
```


In terms of stability, run C leads; the second structure lies 421 meV/atom higher.